HfInH2 after structural relaxation. Source: Alexandria, functional GGA-PBE.

a = 5.839 Å, b = 5.839 Å, c = 5.839 Å
α = 90.00°, β = 90.00°, γ = 90.00°
Space group Fm-3m (No. 225)
One atom of each set of equivalent atoms:
Hf1 0.000 0.000 0.000 [4 per cell]
In1 0.000 0.000 0.500 [4 per cell]
H1 0.250 0.250 0.250 [8 per cell]

## Properties
- DOS(E_F): 8.03 states/eV per cell
- E above lowest polymorph: 743 meV/atom

Hf3InH after structural relaxation. Source: Alexandria, functional GGA-PBE.

a = 5.6319 Å, b = 5.6319 Å, c = 21.6719 Å
α = 90.00°, β = 90.00°, γ = 120.00°
Space group R-3 (No. 148, hexagonal axes)
One atom of each set of equivalent atoms:
Hf1 0.0047 0.6583 0.2778 [18 per cell]
In1 0.0000 0.0000 0.1680 [6 per cell]
H1 0.0000 0.0000 0.3337 [6 per cell]

## Properties
- DOS(E_F): 17.66 states/eV per cell
- VASP energy: -215.653 eV for the cell shown

Hf3InH after structural relaxation. Source: Alexandria, functional GGA-PBE.

a = 5.897 Å, b = 15.525 Å, c = 5.304 Å
α = 90.00°, β = 90.00°, γ = 90.00°
Space group Cmcm (No. 63)
One atom of each set of equivalent atoms:
Hf1 0.000 0.000 0.000 [4 per cell]
Hf2 0.246 0.165 0.250 [8 per cell]
In1 0.000 0.169 0.750 [4 per cell]
H1 0.000 0.419 0.750 [4 per cell]

## Properties
- DOS(E_F): 18.99 states/eV per cell
- VASP energy: -132.513 eV for the cell shown

Hf3InH after structural relaxation. Source: Alexandria, functional GGA-PBE.

a = 10.436 Å, b = 12.816 Å, c = 5.464 Å
α = 90.00°, β = 94.64°, γ = 90.00°
Space group C2/c (No. 15)
One atom of each set of equivalent atoms:
Hf1 0.125 0.192 0.061 [8 per cell]
Hf2 0.127 0.062 0.569 [8 per cell]
Hf3 0.130 0.311 0.543 [8 per cell]
In1 0.130 0.437 0.043 [8 per cell]
H1 0.000 0.063 0.250 [4 per cell]
H2 0.000 0.228 0.750 [4 per cell]

## Properties
- DOS(E_F): 30.34 states/eV per cell
- VASP energy: -292.459 eV for the cell shown

Hf3InH after structural relaxation. Source: Alexandria, functional GGA-PBE.

a = 5.940 Å, b = 4.996 Å, c = 6.243 Å
α = 90.00°, β = 102.41°, γ = 90.00°
Space group P2_1 (No. 4)
One atom of each set of equivalent atoms:
Hf1 0.139 0.000 0.261 [2 per cell]
Hf2 0.338 0.495 0.579 [2 per cell]
Hf3 0.357 0.489 0.072 [2 per cell]
In1 0.136 0.998 0.772 [2 per cell]
H1 0.394 0.738 0.338 [2 per cell]

## Properties
- DOS(E_F): 5.16 states/eV per cell
- VASP energy: -73.997 eV for the cell shown

Hf3InH after structural relaxation. Source: Alexandria, functional GGA-PBE.

a = 5.944 Å, b = 5.944 Å, c = 10.825 Å
α = 90.00°, β = 90.00°, γ = 90.00°
Space group I-4m2 (No. 119)
One atom of each set of equivalent atoms:
Hf1 0.000 0.000 0.131 [4 per cell]
Hf2 0.000 0.254 0.632 [8 per cell]
In1 0.000 0.500 0.114 [4 per cell]
H1 0.000 0.000 0.500 [2 per cell]
H2 0.000 0.500 0.750 [2 per cell]

## Properties
- DOS(E_F): 14.52 states/eV per cell
- VASP energy: -142.746 eV for the cell shown

Hf3InH after structural relaxation. Source: Alexandria, functional GGA-PBE.

a = 4.998 Å, b = 5.954 Å, c = 6.220 Å
α = 102.11°, β = 90.02°, γ = 91.09°
Space group P-1 (No. 2)
One atom of each set of equivalent atoms:
Hf1 0.223 0.151 0.420 [2 per cell]
Hf2 0.238 0.142 0.926 [2 per cell]
Hf3 0.239 0.633 0.256 [2 per cell]
In1 0.266 0.637 0.767 [2 per cell]
H1 0.496 0.108 0.661 [2 per cell]

## Properties
- DOS(E_F): 5.71 states/eV per cell
- VASP energy: -74.054 eV for the cell shown

HfInH2 after structural relaxation. Source: Alexandria, functional GGA-PBE.

a = 4.563 Å, b = 4.563 Å, c = 10.497 Å
α = 90.00°, β = 90.00°, γ = 90.00°
Space group I-42d (No. 122)
One atom of each set of equivalent atoms:
Hf1 0.000 0.000 0.000 [4 per cell]
In1 0.000 0.000 0.500 [4 per cell]
H1 0.147 0.250 0.125 [8 per cell]

## Properties
- DOS(E_F): 4.73 states/eV per cell
- E above lowest polymorph: 263 meV/atom

Hf6In3H after structural relaxation. Source: Alexandria, functional GGA-PBE.

a = 10.334 Å, b = 5.971 Å, c = 7.223 Å
α = 90.00°, β = 106.60°, γ = 90.00°
Space group C2/m (No. 12)
One atom of each set of equivalent atoms:
Hf1 0.104 0.249 0.381 [8 per cell]
Hf2 0.179 0.000 0.809 [4 per cell]
In1 0.000 0.500 0.000 [2 per cell]
In2 0.183 0.500 0.760 [4 per cell]
H1 0.000 0.000 0.500 [2 per cell]

## Properties
- DOS(E_F): 17.15 states/eV per cell
- VASP energy: -141.354 eV for the cell shown

Hf3InH after structural relaxation. Source: Alexandria, functional GGA-PBE.

a = 4.105 Å, b = 4.105 Å, c = 7.510 Å
α = 90.00°, β = 90.00°, γ = 90.00°
Space group P4mm (No. 99)
One atom of each set of equivalent atoms:
Hf1 0.000 0.000 0.000 [1 per cell]
Hf2 0.000 0.500 0.713 [2 per cell]
In1 0.000 0.000 0.398 [1 per cell]
H1 0.500 0.500 0.656 [1 per cell]

## Properties
- DOS(E_F): 6.54 states/eV per cell
- VASP energy: -33.217 eV for the cell shown

Hf3InH after structural relaxation. Source: Alexandria, functional GGA-PBE.

a = 9.0692 Å, b = 9.0692 Å, c = 3.9782 Å
α = 90.00°, β = 90.00°, γ = 120.00°
Space group R3m (No. 160, hexagonal axes)
One atom of each set of equivalent atoms:
Hf1 0.1953 0.3906 0.0000 [9 per cell]
In1 0.0000 0.0000 0.8523 [3 per cell]
H1 0.0000 0.0000 0.3768 [3 per cell]

## Properties
- DOS(E_F): 16.41 states/eV per cell
- VASP energy: -104.645 eV for the cell shown

Hf4In3H after structural relaxation. Source: Alexandria, functional GGA-PBE.

a = 4.355 Å, b = 8.499 Å, c = 9.356 Å
α = 90.00°, β = 90.00°, γ = 90.00°
Space group Pmmn (No. 59, origin choice 2)
One atom of each set of equivalent atoms:
Hf1 0.250 0.004 0.118 [4 per cell]
Hf2 0.250 0.250 0.888 [2 per cell]
Hf3 0.250 0.750 0.872 [2 per cell]
In1 0.250 0.027 0.625 [4 per cell]
In2 0.250 0.250 0.376 [2 per cell]
H1 0.250 0.750 0.106 [2 per cell]

## Properties
- DOS(E_F): 9.04 states/eV per cell
- VASP energy: -103.539 eV for the cell shown